Record 1
The following is a PBE calculation of Cs4Rb2Cd2O after structural relaxation, from Alexandria.

Computed properties:
As for the symmetry: C2/m, No. 12.

Structure (POSCAR):
```
Cs4Rb2Cd2O
1.0
7.499 -4.338 0.000
7.499 4.338 0.000
-0.426 0.000 7.465
Cs Rb Cd O
4 2 2 1
Direct
0.159 0.681 0.709 Cs
0.319 0.841 0.291 Cs
0.681 0.159 0.709 Cs
0.841 0.319 0.291 Cs
0.158 0.158 0.733 Rb
0.842 0.842 0.267 Rb
0.329 0.329 0.228 Cd
0.671 0.671 0.772 Cd
0.000 0.000 0.500 O
```

***

Record 2
The following is a PBE calculation of K2H4OsO6 after structural relaxation, from Alexandria.

Computed properties:
As for the symmetry: I4/mmm, No. 139.

Structure (POSCAR):
```
K2H4OsO6
1.0
-3.232 3.232 3.493
3.232 -3.232 3.493
3.232 3.232 -3.493
K H Os O
2 4 1 6
Direct
0.250 0.750 0.500 K
0.750 0.250 0.500 K
0.176 0.176 0.351 H
0.176 0.824 0.000 H
0.824 0.176 0.000 H
0.824 0.824 0.649 H
0.500 0.500 0.000 Os
0.242 0.242 0.000 O
0.282 0.282 0.563 O
0.282 0.718 0.000 O
0.718 0.282 0.000 O
0.718 0.718 0.437 O
0.758 0.758 0.000 O
```

***

Record 3
The following is a PBE calculation of Al3W3C4 after structural relaxation, from Alexandria.

Computed properties:
As for the symmetry: Pmm2, No. 25.

Structure (POSCAR):
```
Al3W3C4
1.0
2.853 0.000 0.000
0.000 2.933 0.000
0.000 0.000 14.303
Al W C
3 3 4
Direct
0.000 0.000 0.000 Al
0.000 0.000 0.333 Al
0.000 0.500 0.180 Al
0.000 0.000 0.669 W
0.000 0.500 0.493 W
0.000 0.500 0.844 W
0.500 0.000 0.221 C
0.500 0.000 0.786 C
0.500 0.500 0.607 C
0.500 0.500 0.963 C
```

***

Record 4
The following is a PBE calculation of TcAsSe3 after structural relaxation, from Alexandria.

Computed properties:
As for the symmetry: Pm-3m, No. 221. The energy above the lowest structure with this stoichiometry comes out at 0.000 eV per formula unit.

Structure (POSCAR):
```
TcAsSe3
1.0
4.850 0.000 0.000
0.000 4.850 0.000
0.000 0.000 4.850
Tc As Se
1 1 3
Direct
0.000 0.000 0.000 Tc
0.500 0.500 0.500 As
0.000 0.000 0.500 Se
0.000 0.500 0.000 Se
0.500 0.000 0.000 Se
```

***

no.,theoretical density (g cm⁻³),calculated total energy (eV/atom)
1,3.23,-1.66
2,4.19,-5.32
3,9.44,-8.41
4,5.96,-4.55